Entry 1:
Mg5Sn | GGA-PBE | relaxed

a = 7.117 Å, b = 7.117 Å, c = 4.517 Å
α = 90.00°, β = 90.00°, γ = 143.17°
Positions (direct):
1 Mg 0.000 0.000 0.000
2 Mg 0.165 0.835 0.500
3 Mg 0.333 0.667 0.000
4 Mg 0.667 0.333 0.000
5 Mg 0.835 0.165 0.500
6 Sn 0.500 0.500 0.500

Summary:
V   22.9 A^3/atom
DFT formation energy   -0.08 eV/atom
Final energy   -12.45 eV for the cell shown

Entry 2:
Mg3Sn4 | GGA-PBE | relaxed

a = 7.814 Å, b = 7.814 Å, c = 7.814 Å
α = 109.47°, β = 109.47°, γ = 109.47°
Positions (direct):
1 Mg 0.125 0.750 0.875
2 Mg 0.250 0.625 0.375
3 Mg 0.375 0.250 0.625
4 Mg 0.625 0.375 0.250
5 Mg 0.750 0.875 0.125
6 Mg 0.875 0.125 0.750
7 Sn 0.000 0.331 0.500
8 Sn 0.000 0.831 0.500
9 Sn 0.169 0.169 0.169
10 Sn 0.331 0.500 0.000
11 Sn 0.500 0.000 0.331
12 Sn 0.500 0.000 0.831
13 Sn 0.669 0.669 0.669
14 Sn 0.831 0.500 0.000

Summary:
V   26.2 A^3/atom
DFT formation energy   0.00 eV/atom
Final energy   -41.53 eV for the cell shown

Entry 3:
MgSn2 | GGA-PBE | relaxed

a = 5.706 Å, b = 5.706 Å, c = 9.427 Å
α = 115.21°, β = 115.21°, γ = 33.81°
Positions (direct):
1 Mg 0.179 0.179 0.098
2 Mg 0.821 0.821 0.902
3 Sn 0.164 0.164 0.577
4 Sn 0.491 0.491 0.210
5 Sn 0.509 0.509 0.790
6 Sn 0.836 0.836 0.423

Summary:
V   25.5 A^3/atom
DFT formation energy   -0.04 eV/atom
Final energy   -19.46 eV for the cell shown

Entry 4:
Mg3Sn2 | GGA-PBE | relaxed

a = 6.510 Å, b = 6.510 Å, c = 6.510 Å
α = 76.45°, β = 76.45°, γ = 76.45°
Positions (direct):
1 Mg 0.035 0.750 0.465
2 Mg 0.250 0.535 0.965
3 Mg 0.465 0.035 0.750
4 Mg 0.535 0.965 0.250
5 Mg 0.750 0.465 0.035
6 Mg 0.965 0.250 0.535
7 Sn 0.110 0.110 0.110
8 Sn 0.390 0.390 0.390
9 Sn 0.610 0.610 0.610
10 Sn 0.890 0.890 0.890

Summary:
V   25.6 A^3/atom
DFT formation energy   -0.12 eV/atom
Final energy   -26.80 eV for the cell shown

Entry 5:
MgSn3 | GGA-PBE | relaxed

a = 3.373 Å, b = 5.249 Å, c = 5.896 Å
α = 90.00°, β = 90.00°, γ = 90.00°
Positions (direct):
1 Mg 0.000 0.000 0.000
2 Sn 0.000 0.500 0.324
3 Sn 0.500 0.000 0.514
4 Sn 0.500 0.500 0.853

Summary:
V   26.1 A^3/atom
DFT formation energy   0.00 eV/atom
Final energy   -13.61 eV for the cell shown

Entry 6:
MgSn2 | GGA-PBE | relaxed

a = 6.566 Å, b = 6.566 Å, c = 7.547 Å
α = 101.61°, β = 101.61°, γ = 28.76°
Positions (direct):
1 Mg 0.000 0.000 0.000
2 Mg 0.685 0.685 0.358
3 Sn 0.291 0.291 0.087
4 Sn 0.344 0.344 0.674
5 Sn 0.621 0.621 0.753
6 Sn 0.971 0.971 0.392

Summary:
V   25.5 A^3/atom
DFT formation energy   -0.04 eV/atom
Final energy   -19.42 eV for the cell shown

Entry 7:
Mg5Sn | GGA-PBE | relaxed

a = 6.144 Å, b = 6.144 Å, c = 7.394 Å
α = 105.08°, β = 105.08°, γ = 31.35°
Positions (direct):
1 Mg 0.000 0.000 0.000
2 Mg 0.049 0.049 0.608
3 Mg 0.333 0.333 0.667
4 Mg 0.385 0.385 0.272
5 Mg 0.661 0.661 0.335
6 Sn 0.721 0.721 0.943

Summary:
V   23.3 A^3/atom
DFT formation energy   -0.05 eV/atom
Final energy   -12.26 eV for the cell shown

Entry 8:
Mg5Sn | GGA-PBE | relaxed

a = 6.113 Å, b = 6.113 Å, c = 6.113 Å
α = 54.01°, β = 54.01°, γ = 54.01°
Positions (direct):
1 Mg 0.000 0.667 0.333
2 Mg 0.168 0.168 0.168
3 Mg 0.333 0.000 0.667
4 Mg 0.667 0.333 0.000
5 Mg 0.832 0.832 0.832
6 Sn 0.500 0.500 0.500

Summary:
V   23.2 A^3/atom
DFT formation energy   -0.06 eV/atom
Final energy   -12.31 eV for the cell shown

Entry 9:
MgSn2 | GGA-PBE | relaxed

a = 5.713 Å, b = 5.713 Å, c = 5.414 Å
α = 90.00°, β = 90.00°, γ = 120.00°
Positions (direct):
1 Mg 0.333 0.667 0.000
2 Mg 0.667 0.333 0.000
3 Sn 0.000 0.000 0.000
4 Sn 0.000 0.659 0.500
5 Sn 0.341 0.341 0.500
6 Sn 0.659 0.000 0.500

Summary:
V   25.5 A^3/atom
DFT formation energy   -0.03 eV/atom
Final energy   -19.37 eV for the cell shown

Entry 10:
MgSn | GGA-PBE | relaxed

a = 3.330 Å, b = 3.330 Å, c = 10.458 Å
α = 90.00°, β = 90.00°, γ = 120.00°
Positions (direct):
1 Mg 0.333 0.667 0.121
2 Mg 0.667 0.333 0.879
3 Sn 0.333 0.667 0.635
4 Sn 0.667 0.333 0.365

Summary:
V   25.1 A^3/atom
DFT formation energy   -0.01 eV/atom
Final energy   -11.23 eV for the cell shown

Entry 11:
MgSn2 | GGA-PBE | relaxed

a = 5.843 Å, b = 5.843 Å, c = 5.400 Å
α = 90.00°, β = 90.00°, γ = 55.60°
Positions (direct):
1 Mg 0.191 0.809 0.750
2 Mg 0.809 0.191 0.250
3 Sn 0.143 0.535 0.250
4 Sn 0.465 0.857 0.250
5 Sn 0.535 0.143 0.750
6 Sn 0.857 0.465 0.750

Summary:
V   25.3 A^3/atom
DFT formation energy   -0.03 eV/atom
Final energy   -19.37 eV for the cell shown

Entry 12:
MgSn2 | GGA-PBE | relaxed

a = 8.656 Å, b = 8.656 Å, c = 5.594 Å
α = 90.00°, β = 90.00°, γ = 158.57°
Positions (direct):
1 Mg 0.102 0.898 0.750
2 Mg 0.898 0.102 0.250
3 Sn 0.233 0.767 0.250
4 Sn 0.437 0.563 0.750
5 Sn 0.563 0.437 0.250
6 Sn 0.767 0.233 0.750

Summary:
V   25.5 A^3/atom
DFT formation energy   -0.03 eV/atom
Final energy   -19.40 eV for the cell shown

Q: Which formula does entry 8 have?
A: Mg5Sn